Record 1
## Pm8Tm6Sc (PBE)

Data for a relaxed Pm8Tm6Sc crystal. Values from VASP.

```
&SYSTEM
  ibrav = 0, nat = 15, ntyp = 3
/
ATOMIC_SPECIES
Pm 145.00 Pm.upf
Tm 168.93 Tm.upf
Sc 44.96 Sc.upf
CELL_PARAMETERS angstrom
-3.643 5.092 1.374
-6.956 -5.679 2.605
6.324 2.830 6.279
ATOMIC_POSITIONS crystal
Pm 0.820 0.042 0.280
Pm 0.820 0.720 0.762
Pm 0.820 0.238 0.958
Pm 0.180 0.958 0.720
Pm 0.180 0.280 0.238
Pm 0.180 0.762 0.042
Pm 0.864 0.333 0.667
Pm 0.136 0.667 0.333
Tm 0.666 0.653 0.097
Tm 0.666 0.903 0.556
Tm 0.666 0.444 0.347
Tm 0.334 0.347 0.903
Tm 0.334 0.097 0.444
Tm 0.334 0.556 0.653
Sc 0.500 0.000 0.000
```

**V**: 485 Å³/f.u.
**E_form**: 0.174 eV/atom



Record 2
## Pm5Tm3Sc (PBE)

Data for a relaxed Pm5Tm3Sc crystal. Values from VASP.

```
&SYSTEM
  ibrav = 0, nat = 18, ntyp = 3
/
ATOMIC_SPECIES
Pm 145.00 Pm.upf
Tm 168.93 Tm.upf
Sc 44.96 Sc.upf
CELL_PARAMETERS angstrom
9.276 0.000 0.000
0.000 9.276 0.000
-4.638 -4.638 6.909
ATOMIC_POSITIONS crystal
Pm 0.063 0.563 0.733
Pm 0.670 0.170 0.733
Pm 0.170 0.063 0.733
Pm 0.563 0.670 0.733
Pm 0.937 0.437 0.267
Pm 0.330 0.830 0.267
Pm 0.830 0.937 0.267
Pm 0.437 0.330 0.267
Pm 0.500 0.500 0.000
Pm 0.000 0.000 0.000
Tm 0.610 0.110 0.000
Tm 0.390 0.890 0.000
Tm 0.890 0.610 0.000
Tm 0.110 0.390 0.000
Tm 0.250 0.250 0.500
Tm 0.750 0.750 0.500
Sc 0.750 0.250 0.500
Sc 0.250 0.750 0.500
```

**V**: 297 Å³/f.u.
**E_form**: 0.320 eV/atom